Crystalline LaTl3Bi2Se6 at its relaxed geometry. Source: Alexandria via LeMat-Bulk, functional GGA-PBE.

extended XYZ file:
```
12
Lattice="3.767 -6.520 0.000 3.767 6.520 0.000 -2.511 0.000 7.674" Properties=species:S:1:pos:R:3 pbc="T T T"
La 0.000 0.000 0.000
Tl 2.512 4.355 3.837
Tl 2.512 0.000 3.837
Tl 2.512 -4.355 3.837
Bi 3.767 2.167 0.000
Bi 3.767 -2.167 0.000
Se 1.275 2.203 1.651
Se 0.037 0.000 6.041
Se 1.275 -2.203 1.651
Se 3.748 2.203 6.023
Se 4.987 0.000 1.632
Se 3.748 -2.203 6.023
```

Computed properties:
Total DFT energy (no corrections) ... -50.115 eV per cell
Total magnetization ... 0.00 μB/atom
Energy relative to the elements, uncorrected ... -18.10 kcal/mol of atoms